Record 1
First-principles (GGA-PBE) data for PrNd2TmAs4 after structural relaxation, as listed in the Alexandria database.

Cell: 4.236 7.328 7.327 Å, 70.53 90.00 90.00°
Atoms (fractional coordinates):
Pr 0.500 0.500 0.000
Nd 0.000 0.000 0.000
Nd 0.500 0.000 0.500
Tm 0.000 0.500 0.500
As 0.000 0.747 0.744
As 0.000 0.253 0.256
As 0.500 0.742 0.259
As 0.500 0.258 0.741

Calculated formation energy = -1.4917 eV/atom
Calculated volume = 26.80 A^3/atom

Record 2
First-principles (GGA-PBE) data for Ho4RuRh after structural relaxation, as listed in the Alexandria database.

Cell: 6.283 7.430 7.836 Å, 114.04 108.78 99.58°
Atoms (fractional coordinates):
Ho 0.005 0.239 0.872
Ho 0.794 0.694 0.648
Ho 0.367 0.633 0.872
Ho 0.354 0.954 0.648
Ho 0.646 0.046 0.352
Ho 0.633 0.367 0.128
Ho 0.206 0.306 0.352
Ho 0.995 0.761 0.128
Ru 0.251 0.001 0.002
Ru 0.749 0.999 0.998
Rh 0.386 0.636 0.272
Rh 0.614 0.364 0.728

Offset from the most stable computed form = 0.000 eV/atom
Calculated formation energy = -0.5363 eV/atom
Calculated volume = 24.74 A^3/atom

Record 3
First-principles (GGA-PBE) data for FeB2PtSe after structural relaxation, as listed in the Alexandria database.

Cell: 4.050 4.375 4.050 Å, 90.00 90.00 90.00°
Atoms (fractional coordinates):
B 0.000 0.000 0.500
B 0.500 0.000 0.000
Se 0.000 0.000 0.000
Pt 0.500 0.500 0.500
Fe 0.000 0.500 0.000

E_form (uncorrected) = 1.6353 eV/atom
Calculated volume = 14.35 A^3/atom

no.,VASP energy (eV/cell)
1,-49.3
2,-76.3
3,-23.2